! PBE SrSbTe2O, optimized geometry; values from VASP
! - energy (hartree per atom) = -0.1477
! - magnetic moment (μB per cell) = 0.00
! - space-group type = P4/mmm, No. 123
! - distance to the lowest polymorph of the same formula (eV/atom) = 0.000
! - E_form (uncorrected) (kJ per mole of atoms) = -58.74
! - D(E_F) (states/eV/atom) = 0.44
&SYSTEM
  ibrav = 0, nat = 5, ntyp = 4
/
ATOMIC_SPECIES
Sr 87.62 Sr.upf
Sb 121.76 Sb.upf
Te 127.60 Te.upf
O 16.00 O.upf
ATOMIC_POSITIONS crystal
Sr 0.000 0.000 0.000
Sb 0.500 0.500 0.000
Te 0.000 0.500 0.500
Te 0.500 0.000 0.500
O 0.000 0.000 0.500
CELL_PARAMETERS angstrom
5.124 0.000 0.000
0.000 5.124 0.000
0.000 0.000 4.907